Record 1
Density functional theory data (PBE) for an optimized crystal structure of Cs2TiGaF6.

The structure in extended XYZ format:
```
20
Lattice="3.333 1.924 10.539 -3.333 1.924 10.539 0.000 -3.849 10.539" Properties=species:S:1:pos:R:3 pbc="T T T"
Cs 0.000 0.000 4.081
Cs 0.000 0.000 8.796
Cs 0.000 0.000 22.821
Cs 0.000 0.000 27.536
Ti 0.000 0.000 0.000
Ti 0.000 0.000 15.808
Ga 0.000 0.000 12.745
Ga 0.000 0.000 18.872
F -1.467 -0.847 14.711
F 0.000 -2.247 11.711
F -1.946 1.124 11.711
F -1.946 -1.124 19.906
F 0.000 -1.694 16.906
F -1.467 0.847 16.906
F 1.467 -0.847 14.711
F 0.000 1.694 14.711
F 1.946 1.124 11.711
F 1.946 -1.124 19.906
F 0.000 2.247 19.906
F 1.467 0.847 16.906
```

Output
- raw formation energy (eV/f.u.) = -27.9

---

Record 2
Density functional theory data (PBE) for an optimized crystal structure of Cs2TiGaF6.

The structure in extended XYZ format:
```
10
Lattice="-3.248 3.248 4.594 3.248 -3.248 4.594 3.248 3.248 -4.594" Properties=species:S:1:pos:R:3 pbc="T T T"
Cs 3.248 0.000 2.297
Cs 0.000 3.248 2.297
Ti 0.000 0.000 0.000
Ga 0.000 0.000 4.594
F 1.408 1.408 0.000
F 1.840 -1.840 4.594
F 0.000 0.000 2.035
F 0.000 0.000 7.152
F -1.840 1.840 4.594
F 1.840 1.840 4.594
```

Output
- raw formation energy (eV/f.u.) = -28.0

---

Record 3
Density functional theory data (PBE) for an optimized crystal structure of Cs2TlGa3F12.

The structure in extended XYZ format:
```
18
Lattice="3.761 2.171 6.412 -3.761 2.171 6.412 0.000 -4.343 6.412" Properties=species:S:1:pos:R:3 pbc="T T T"
Cs 0.000 0.000 2.255
Cs 0.000 0.000 16.980
Tl 0.000 0.000 9.618
Ga -1.880 -1.086 6.412
Ga -1.880 1.086 12.823
Ga 0.000 2.171 6.412
F -2.101 -1.213 8.245
F 0.000 -1.657 6.639
F -1.435 0.829 6.639
F 0.000 -2.426 10.990
F -2.101 1.213 10.990
F -1.435 -0.829 12.596
F 1.435 0.829 6.639
F 2.101 -1.213 8.245
F 0.000 2.426 8.245
F 1.435 -0.829 12.596
F 0.000 1.657 12.596
F 2.101 1.213 10.990
```

Output
- raw formation energy (eV/f.u.) = -47.7

---

Record 4
Density functional theory data (PBE) for an optimized crystal structure of Cs2TlGa2F6.

The structure in extended XYZ format:
```
11
Lattice="5.545 -3.370 0.000 5.545 3.370 0.000 -4.002 0.000 7.138" Properties=species:S:1:pos:R:3 pbc="T T T"
Cs 1.651 0.000 1.264
Cs 5.437 0.000 5.875
Tl -2.001 0.000 3.569
Ga 1.589 0.000 5.827
Ga 5.499 0.000 1.312
F 4.268 1.484 1.561
F 0.854 0.000 4.048
F 2.820 1.484 5.577
F 4.268 -1.484 1.561
F 6.234 0.000 3.090
F 2.820 -1.484 5.577
```

Output
- raw formation energy (eV/f.u.) = -24.5

---

Record 5
Density functional theory data (PBE) for an optimized crystal structure of CsTlGa2F8.

The structure in extended XYZ format:
```
12
Lattice="3.049 1.761 7.917 -3.049 1.761 7.917 0.000 -3.521 7.917" Properties=species:S:1:pos:R:3 pbc="T T T"
Cs 0.000 0.000 0.000
Tl 0.000 0.000 11.876
Ga 0.000 0.000 6.033
Ga 0.000 0.000 17.718
F -2.403 -0.173 10.351
F -1.052 -2.167 13.400
F 0.000 0.000 7.835
F 1.351 -1.994 10.351
F -1.351 1.994 13.400
F 0.000 0.000 15.916
F 1.052 2.167 10.351
F 2.403 0.173 13.400
```

Output
- raw formation energy (eV/f.u.) = -30.3

---

Record 6
Density functional theory data (PBE) for an optimized crystal structure of CsUGaF6.

The structure in extended XYZ format:
```
9
Lattice="5.314 0.000 0.000 -0.365 6.449 0.000 -0.200 -2.751 5.884" Properties=species:S:1:pos:R:3 pbc="T T T"
Cs 0.000 0.000 0.000
U 2.842 3.423 2.123
Ga 1.989 0.230 4.321
F 1.116 2.242 1.710
F 2.185 5.107 0.912
F 2.083 4.436 3.972
F 3.605 2.660 0.129
F 3.518 1.724 3.420
F 4.609 4.548 2.501
```

Output
- raw formation energy (eV/f.u.) = -27.0